15
Lattice="-6.827 -1.169 0.389 4.309 -3.094 4.471 -0.829 6.637 5.393" Properties=species:S:1:pos:R:3 comment="Ac3SiSn2Pd9 (GGA-PBE, optimized geometry)" sg="No. 164" formation_energy_uncorrected_ev_per_fu=-9.139 pbc="T T T"
Ac 0.000 0.000 0.000
Sn 0.428 -1.098 4.211
Pd -1.830 3.906 4.468
Ac 0.025 2.132 6.835
Sn -3.775 3.472 6.042
Pd -0.010 1.018 2.878
Ac -3.371 0.242 3.418
Pd -5.914 3.207 4.700
Pd -1.259 -2.131 2.430
Si -0.414 3.319 2.696
Pd -3.337 1.356 7.375
Pd 2.155 -1.547 2.235
Pd -1.516 -1.532 5.785
Pd 2.567 -0.832 5.552
Pd -3.414 -0.584 0.195

5
Lattice="4.920 0.000 0.000 0.000 4.920 0.000 0.000 0.000 3.873" Properties=species:S:1:pos:R:3 comment="Y2RuAuN (GGA-PBE, optimized geometry)" sg="No. 123" formation_energy_uncorrected_ev_per_fu=-4.435 pbc="T T T"
Ru 0.000 0.000 1.937
N 0.000 0.000 0.000
Au 2.460 2.460 1.937
Y 0.000 2.460 0.000
Y 2.460 0.000 0.000

6
Lattice="-2.645 -2.840 -0.511 2.853 -1.856 -4.452 3.047 -4.135 7.204" Properties=species:S:1:pos:R:3 comment="Ac3Ag2Au (GGA-PBE, optimized geometry)" sg="No. 65" delta_e_f_ev_per_atom=-0.44 pbc="T T T"
Ac 0.104 -2.348 -2.481
Au 0.000 0.000 0.000
Ag 2.938 -3.325 3.269
Ag 2.962 -2.666 -0.517
Ac 0.130 -3.064 1.361
Ac 3.125 -5.767 0.880

10
Lattice="7.761 0.000 0.000 3.881 6.721 0.000 3.881 2.240 6.337" Properties=species:S:1:pos:R:3 comment="NaNpHg2Cl6 (GGA-PBE, optimized geometry)" sg="No. 225" formation_energy_uncorrected_ev_per_fu=-11.855 pbc="T T T"
Na 7.761 4.481 3.168
Np 0.000 0.000 0.000
Cl 5.678 5.684 1.468
Cl 7.761 6.886 4.869
Hg 11.642 6.721 4.753
Cl 5.678 3.278 4.869
Cl 7.761 2.076 1.468
Hg 3.881 2.240 1.584
Cl 9.844 3.278 4.869
Cl 9.844 5.684 1.468